(a)
A plane-wave DFT calculation with PBE was carried out for La5PmMg after structural relaxation.

Cell lengths 9.177, 9.177, 11.020 Å; angles 125.19, 125.19, 42.32 degrees
Fractional coordinates of all 14 atoms:
La (0.012, 0.988, 0.750)
La (0.085, 0.559, 0.907)
La (0.158, 0.664, 0.402)
La (0.336, 0.842, 0.098)
La (0.441, 0.915, 0.593)
La (0.559, 0.085, 0.407)
La (0.664, 0.158, 0.902)
La (0.842, 0.336, 0.598)
La (0.915, 0.441, 0.093)
La (0.988, 0.012, 0.250)
Pm (0.000, 0.500, 0.500)
Pm (0.500, 0.000, 0.000)
Mg (0.493, 0.507, 0.750)
Mg (0.507, 0.493, 0.250)


(b)
A plane-wave DFT calculation with PBE was carried out for La5PmMg after structural relaxation.

Cell lengths 6.702, 6.702, 11.815 Å; angles 103.68, 103.68, 96.32 degrees
Fractional coordinates of all 14 atoms:
La (0.036, 0.381, 0.835)
La (0.155, 0.845, 0.750)
La (0.227, 0.537, 0.477)
La (0.381, 0.036, 0.335)
La (0.463, 0.773, 0.023)
La (0.537, 0.227, 0.977)
La (0.619, 0.964, 0.665)
La (0.773, 0.463, 0.523)
La (0.845, 0.155, 0.250)
La (0.964, 0.619, 0.165)
Pm (0.483, 0.517, 0.250)
Pm (0.517, 0.483, 0.750)
Mg (0.000, 0.000, 0.000)
Mg (0.000, 0.000, 0.500)


The most stable of them is (b).


(a)
A plane-wave DFT calculation with PBE was carried out for LaPm7Mg2 after structural relaxation.

Cell lengths 8.875, 3.432, 11.690 Å; angles 90.00, 110.82, 90.00 degrees
Fractional coordinates of all 10 atoms:
La (0.000, 0.000, 0.000)
Pm (0.000, 0.500, 0.500)
Pm (0.193, 0.500, 0.805)
Pm (0.221, 0.500, 0.312)
Pm (0.399, 0.000, 0.616)
Pm (0.601, 0.000, 0.384)
Pm (0.779, 0.500, 0.688)
Pm (0.807, 0.500, 0.195)
Mg (0.401, 0.500, 0.102)
Mg (0.599, 0.500, 0.898)


(b)
A plane-wave DFT calculation with PBE was carried out for LaPm7Mg2 after structural relaxation.

Cell lengths 12.298, 12.298, 3.553 Å; angles 90.00, 90.00, 137.27 degrees
Fractional coordinates of all 10 atoms:
La (0.000, 0.000, 0.000)
Pm (0.072, 0.302, 0.500)
Pm (0.302, 0.072, 0.500)
Pm (0.364, 0.636, 0.000)
Pm (0.500, 0.500, 0.500)
Pm (0.636, 0.364, 0.000)
Pm (0.698, 0.928, 0.500)
Pm (0.928, 0.698, 0.500)
Mg (0.242, 0.758, 0.500)
Mg (0.758, 0.242, 0.500)


The most stable of them is (a).